A plane-wave DFT calculation with PBE with a Hubbard U was carried out for a geometry-optimized Ca3MnO structure.

Lattice parameters (Å, degrees): 5.8542 5.8542 5.8542 90.00 90.00 90.00
Closest atoms and distances in Å follow each position.
Atoms (fractional coordinates):
Ca 0.0000 0.0000 0.5000  2 Mn 2.93
Ca 0.0000 0.5000 0.0000  2 Mn 2.93
Ca 0.5000 0.0000 0.0000  2 Mn 2.93
Mn 0.0000 0.0000 0.0000  6 Ca 2.93
O 0.5000 0.5000 0.5000  12 Ca 4.14

Results
Its total magnetic moment is 6.070 μB per formula unit. The energy above the most stable polymorph in this dataset comes out at 811 kJ/mol of formula units. The calculation puts the energy at -14.879 eV per formula unit.